No. 1
4
Lattice="2.8185 0.0000 0.0000 0.0000 3.8574 0.0000 0.0000 0.0000 5.4601" Properties=species:S:1:pos:R:3 comment="Li2ZnAg (PBEsol, optimized geometry)" spacegroup="Pmmm, No. 47" pbc="T T T"
Zn 1.4092 1.9287 0.0000
Li 0.0000 0.0000 1.3591
Ag 1.4092 1.9287 2.7301
Li 0.0000 0.0000 4.1010

***

No. 2
4
Lattice="2.8316 0.0337 -0.0382 1.4450 2.4353 -0.0382 1.3043 0.7530 8.9167" Properties=species:S:1:pos:R:3 comment="Li2ZnAg (PBEsol, optimized geometry)" spacegroup="C2/m, No. 12" pbc="T T T"
Li 1.3940 0.8048 2.2164
Li 4.1871 2.4174 6.6239
Ag 0.0001 0.0001 0.0000
Zn 2.7906 1.6111 4.4201

***

No. 3
4
Lattice="-1.9159 -1.0648 3.2774 0.3629 -3.7913 -1.0197 4.0630 2.2422 0.7320" Properties=species:S:1:pos:R:3 comment="Li2ZnAg (PBEsol, optimized geometry)" spacegroup="I4/mmm, No. 139" pbc="T T T"
Ag -0.7765 -2.4281 1.1289
Li 1.8247 -1.9886 0.4206
Li 0.6853 -0.6254 2.5691
Zn 0.0000 0.0000 0.0000

***

| no. | uncorrected energy (eV/atom) | DOS(E_F) (states/eV/f.u.) |
| --- | --- | --- |
| 1 | -2.366 | 1.37 |
| 2 | -2.313 | 1.51 |
| 3 | -2.375 | 1.32 |